# 1
# Ti3GeI (PBE-GGA, optimized geometry)
# * relative energy among the computed polymorphs: 0 meV per atom
# * DOS(E_F): 6.1 states/eV/cell
# * formation energy (no corrections): 2.5 eV/f.u.
data_Ti3GeI
_symmetry_space_group_name_H-M 'P m -3 m'
_symmetry_Int_Tables_number 221
_symmetry_space_group_name_Hall '-P 4 2 3'
_cell_length_a 4.912
_cell_length_b 4.912
_cell_length_c 4.912
_cell_angle_alpha 90.00
_cell_angle_beta 90.00
_cell_angle_gamma 90.00
loop_
_atom_site_label
_atom_site_type_symbol
_atom_site_fract_x
_atom_site_fract_y
_atom_site_fract_z
Ti1 Ti 0.000 0.000 0.500
Ge1 Ge 0.000 0.000 0.000
I1 I 0.500 0.500 0.500

***

# 2
# TiGe2I (PBE-GGA, optimized geometry)
# * relative energy among the computed polymorphs: 303 meV per atom
# * DOS(E_F): 15.1 states/eV/cell
# * formation energy (no corrections): 2.7 eV/f.u.
data_TiGe2I
_symmetry_space_group_name_H-M 'F m -3 m'
_symmetry_Int_Tables_number 225
_symmetry_space_group_name_Hall '-F 4 2 3'
_cell_length_a 7.009
_cell_length_b 7.009
_cell_length_c 7.009
_cell_angle_alpha 90.00
_cell_angle_beta 90.00
_cell_angle_gamma 90.00
loop_
_atom_site_label
_atom_site_type_symbol
_atom_site_fract_x
_atom_site_fract_y
_atom_site_fract_z
Ti1 Ti 0.000 0.000 0.000
Ge1 Ge 0.250 0.250 0.250
I1 I 0.000 0.000 0.500

***

# 3
# Ti3GeI (PBE-GGA, optimized geometry)
# * relative energy among the computed polymorphs: 566 meV per atom
# * DOS(E_F): 6.0 states/eV/cell
# * formation energy (no corrections): 5.3 eV/f.u.
data_Ti3GeI
_symmetry_space_group_name_H-M 'P m -3 m'
_symmetry_Int_Tables_number 221
_symmetry_space_group_name_Hall '-P 4 2 3'
_cell_length_a 4.971
_cell_length_b 4.971
_cell_length_c 4.971
_cell_angle_alpha 90.00
_cell_angle_beta 90.00
_cell_angle_gamma 90.00
loop_
_atom_site_label
_atom_site_type_symbol
_atom_site_fract_x
_atom_site_fract_y
_atom_site_fract_z
Ti1 Ti 0.000 0.000 0.500
Ge1 Ge 0.500 0.500 0.500
I1 I 0.000 0.000 0.000

***

# 4
# TiGe2I8 (PBE-GGA, optimized geometry)
# * formation energy (no corrections): -4.8 eV/f.u.
data_TiGe2I8
_symmetry_space_group_name_H-M 'C 1 2/m 1'
_symmetry_Int_Tables_number 12
_cell_length_a 12.609
_cell_length_b 11.148
_cell_length_c 7.796
_cell_angle_alpha 90.00
_cell_angle_beta 105.95
_cell_angle_gamma 90.00
loop_
_symmetry_equiv_pos_as_xyz
'x,y,z'
'-x,-y,-z'
'-x,y,-z'
'x,-y,z'
'x+1/2,y+1/2,z'
'-x+1/2,-y+1/2,-z'
'-x+1/2,y+1/2,-z'
'x+1/2,-y+1/2,z'
loop_
_atom_site_label
_atom_site_type_symbol
_atom_site_fract_x
_atom_site_fract_y
_atom_site_fract_z
Ti1 Ti 0.000 0.000 0.000
Ge1 Ge 0.154 0.000 0.602
I1 I 0.067 0.177 0.799
I2 I 0.138 0.500 0.218
I3 I 0.207 0.000 0.233

***

# 5
# TiGeI (PBE-GGA, optimized geometry)
# * DOS(E_F): 10.0 states/eV/cell
# * formation energy (no corrections): -0.8 eV/f.u.
data_TiGeI
_symmetry_space_group_name_H-M 'C 1 2/m 1'
_symmetry_Int_Tables_number 12
_cell_length_a 14.357
_cell_length_b 3.640
_cell_length_c 6.850
_cell_angle_alpha 90.00
_cell_angle_beta 112.27
_cell_angle_gamma 90.00
loop_
_symmetry_equiv_pos_as_xyz
'x,y,z'
'-x,-y,-z'
'-x,y,-z'
'x,-y,z'
'x+1/2,y+1/2,z'
'-x+1/2,-y+1/2,-z'
'-x+1/2,y+1/2,-z'
'x+1/2,-y+1/2,z'
loop_
_atom_site_label
_atom_site_type_symbol
_atom_site_fract_x
_atom_site_fract_y
_atom_site_fract_z
Ti1 Ti 0.240 0.000 0.311
Ge1 Ge 0.191 0.000 0.892
I1 I 0.094 0.500 0.313

***

# 6
# TiGe2I (PBE-GGA, optimized geometry)
# * relative energy among the computed polymorphs: 0 meV per atom
# * DOS(E_F): 9.4 states/eV/cell
# * formation energy (no corrections): 1.5 eV/f.u.
data_TiGe2I
_symmetry_space_group_name_H-M 'I -4 2 d'
_symmetry_Int_Tables_number 122
_symmetry_space_group_name_Hall 'I -4 2bw'
_cell_length_a 4.942
_cell_length_b 4.942
_cell_length_c 18.102
_cell_angle_alpha 90.00
_cell_angle_beta 90.00
_cell_angle_gamma 90.00
loop_
_atom_site_label
_atom_site_type_symbol
_atom_site_fract_x
_atom_site_fract_y
_atom_site_fract_z
Ti1 Ti 0.000 0.000 0.000
Ge1 Ge 0.049 0.250 0.125
I1 I 0.000 0.000 0.500

***

# 7
# TiVGeI2 (PBE-GGA, optimized geometry)
# * DOS(E_F): 11.1 states/eV/cell
# * formation energy (no corrections): 6.9 eV/f.u.
data_TiVGeI2
_symmetry_space_group_name_H-M 'P 4/m m m'
_symmetry_Int_Tables_number 123
_symmetry_space_group_name_Hall '-P 4 2'
_cell_length_a 5.648
_cell_length_b 5.648
_cell_length_c 5.025
_cell_angle_alpha 90.00
_cell_angle_beta 90.00
_cell_angle_gamma 90.00
loop_
_atom_site_label
_atom_site_type_symbol
_atom_site_fract_x
_atom_site_fract_y
_atom_site_fract_z
Ti1 Ti 0.000 0.000 0.000
V1 V 0.500 0.500 0.000
Ge1 Ge 0.000 0.000 0.500
I1 I 0.000 0.500 0.500

***

# 8
# Tl3Ge5I12 (PBE-GGA, optimized geometry)
# * DOS(E_F): 57.2 states/eV/cell
# * formation energy (no corrections): -5.7 eV/f.u.
data_Tl3Ge5I12
_symmetry_space_group_name_H-M 'I a -3 d'
_symmetry_Int_Tables_number 230
_symmetry_space_group_name_Hall '-I 4bd 2c 3'
_cell_length_a 19.204
_cell_length_b 19.204
_cell_length_c 19.204
_cell_angle_alpha 90.00
_cell_angle_beta 90.00
_cell_angle_gamma 90.00
loop_
_atom_site_label
_atom_site_type_symbol
_atom_site_fract_x
_atom_site_fract_y
_atom_site_fract_z
Tl1 Tl 0.000 0.250 0.125
Ge1 Ge 0.000 0.000 0.000
Ge2 Ge 0.000 0.250 0.375
I1 I 0.030 0.055 0.646

***

# 9
# Tl3Ge2I7 (PBE-GGA, optimized geometry)
# * formation energy (no corrections): -5.1 eV/f.u.
data_Tl3Ge2I7
_symmetry_space_group_name_H-M 'I 4/m m m'
_symmetry_Int_Tables_number 139
_symmetry_space_group_name_Hall '-I 4 2'
_cell_length_a 5.901
_cell_length_b 5.901
_cell_length_c 29.012
_cell_angle_alpha 90.00
_cell_angle_beta 90.00
_cell_angle_gamma 90.00
loop_
_atom_site_label
_atom_site_type_symbol
_atom_site_fract_x
_atom_site_fract_y
_atom_site_fract_z
Tl1 Tl 0.000 0.000 0.000
Tl2 Tl 0.000 0.000 0.176
Ge1 Ge 0.000 0.000 0.393
I1 I 0.000 0.000 0.294
I2 I 0.000 0.000 0.500
I3 I 0.000 0.500 0.100

***

# 10
# TlGeI4 (PBE-GGA, optimized geometry)
# * DOS(E_F): 4.8 states/eV/cell
# * formation energy (no corrections): -2.0 eV/f.u.
data_TlGeI4
_symmetry_space_group_name_H-M 'C 1 2/c 1'
_symmetry_Int_Tables_number 15
_cell_length_a 10.442
_cell_length_b 18.458
_cell_length_c 7.289
_cell_angle_alpha 90.00
_cell_angle_beta 129.99
_cell_angle_gamma 90.00
loop_
_symmetry_equiv_pos_as_xyz
'x,y,z'
'-x,-y,-z'
'-x,y,-z+1/2'
'x,-y,z+1/2'
'x+1/2,y+1/2,z'
'-x+1/2,-y+1/2,-z'
'-x+1/2,y+1/2,-z+1/2'
'x+1/2,-y+1/2,z+1/2'
loop_
_atom_site_label
_atom_site_type_symbol
_atom_site_fract_x
_atom_site_fract_y
_atom_site_fract_z
Tl1 Tl 0.000 0.115 0.250
Ge1 Ge 0.000 0.357 0.750
I1 I 0.164 0.285 0.621
I2 I 0.230 0.444 0.116

***

# 11
# Tl2GeI3 (PBE-GGA, optimized geometry)
# * DOS(E_F): 7.8 states/eV/cell
# * formation energy (no corrections): -1.7 eV/f.u.
data_Tl2GeI3
_symmetry_space_group_name_H-M 'C 1 2/c 1'
_symmetry_Int_Tables_number 15
_cell_length_a 15.217
_cell_length_b 6.944
_cell_length_c 9.528
_cell_angle_alpha 90.00
_cell_angle_beta 108.24
_cell_angle_gamma 90.00
loop_
_symmetry_equiv_pos_as_xyz
'x,y,z'
'-x,-y,-z'
'-x,y,-z+1/2'
'x,-y,z+1/2'
'x+1/2,y+1/2,z'
'-x+1/2,-y+1/2,-z'
'-x+1/2,y+1/2,-z+1/2'
'x+1/2,-y+1/2,z+1/2'
loop_
_atom_site_label
_atom_site_type_symbol
_atom_site_fract_x
_atom_site_fract_y
_atom_site_fract_z
Tl1 Tl 0.168 0.001 0.084
Ge1 Ge 0.000 0.480 0.750
I1 I 0.000 0.040 0.250
I2 I 0.140 0.499 0.570

***

# 12
# TlGe2I2 (PBE-GGA, optimized geometry)
# * DOS(E_F): 2.5 states/eV/cell
# * formation energy (no corrections): -0.3 eV/f.u.
data_TlGe2I2
_symmetry_space_group_name_H-M 'I 4/m m m'
_symmetry_Int_Tables_number 139
_symmetry_space_group_name_Hall '-I 4 2'
_cell_length_a 4.014
_cell_length_b 4.014
_cell_length_c 19.520
_cell_angle_alpha 90.00
_cell_angle_beta 90.00
_cell_angle_gamma 90.00
loop_
_atom_site_label
_atom_site_type_symbol
_atom_site_fract_x
_atom_site_fract_y
_atom_site_fract_z
Tl1 Tl 0.000 0.000 0.000
Ge1 Ge 0.000 0.500 0.250
I1 I 0.000 0.000 0.388

***

# 13
# TlGeI3 (PBE-GGA, optimized geometry)
# * DOS(E_F): 0.0 states/eV/cell
# * formation energy (no corrections): -2.2 eV/f.u.
data_TlGeI3
_symmetry_space_group_name_H-M 'P n m a'
_symmetry_Int_Tables_number 62
_cell_length_a 10.590
_cell_length_b 4.435
_cell_length_c 16.478
_cell_angle_alpha 90.00
_cell_angle_beta 90.00
_cell_angle_gamma 90.00
loop_
_symmetry_equiv_pos_as_xyz
'x,y,z'
'-x,-y,-z'
'-x+1/2,-y,z+1/2'
'x+1/2,y,-z+1/2'
'x+1/2,-y+1/2,-z+1/2'
'-x+1/2,y+1/2,z+1/2'
'-x,y+1/2,-z'
'x,-y+1/2,z'
loop_
_atom_site_label
_atom_site_type_symbol
_atom_site_fract_x
_atom_site_fract_y
_atom_site_fract_z
Tl1 Tl 0.032 0.250 0.169
Ge1 Ge 0.164 0.750 0.442
I1 I 0.013 0.750 0.611
I2 I 0.167 0.750 0.010
I3 I 0.215 0.250 0.786

***

# 14
# TlGe2I4 (PBE-GGA, optimized geometry)
# * DOS(E_F): 8.9 states/eV/cell
# * formation energy (no corrections): -0.5 eV/f.u.
data_TlGe2I4
_symmetry_space_group_name_H-M 'I 4/m'
_symmetry_Int_Tables_number 87
_symmetry_space_group_name_Hall '-I 4'
_cell_length_a 8.867
_cell_length_b 8.867
_cell_length_c 8.362
_cell_angle_alpha 90.00
_cell_angle_beta 90.00
_cell_angle_gamma 90.00
loop_
_atom_site_label
_atom_site_type_symbol
_atom_site_fract_x
_atom_site_fract_y
_atom_site_fract_z
Tl1 Tl 0.000 0.000 0.000
Ge1 Ge 0.000 0.500 0.250
I1 I 0.152 0.685 0.500

***

# 15
# TlGe2I (PBE-GGA, optimized geometry)
# * relative energy among the computed polymorphs: 63 meV per atom
# * DOS(E_F): 17.9 states/eV/cell
# * formation energy (no corrections): 2.1 eV/f.u.
data_TlGe2I
_symmetry_space_group_name_H-M 'I -4 2 d'
_symmetry_Int_Tables_number 122
_symmetry_space_group_name_Hall 'I -4 2bw'
_cell_length_a 6.201
_cell_length_b 6.201
_cell_length_c 15.230
_cell_angle_alpha 90.00
_cell_angle_beta 90.00
_cell_angle_gamma 90.00
loop_
_atom_site_label
_atom_site_type_symbol
_atom_site_fract_x
_atom_site_fract_y
_atom_site_fract_z
Tl1 Tl 0.000 0.000 0.000
Ge1 Ge 0.219 0.250 0.125
I1 I 0.000 0.000 0.500

***

# 16
# Tl2Ge3I8 (PBE-GGA, optimized geometry)
# * DOS(E_F): 0.0 states/eV/cell
# * formation energy (no corrections): -5.3 eV/f.u.
data_Tl2Ge3I8
_symmetry_space_group_name_H-M 'C 1 2/m 1'
_symmetry_Int_Tables_number 12
_cell_length_a 17.087
_cell_length_b 8.813
_cell_length_c 7.716
_cell_angle_alpha 90.00
_cell_angle_beta 107.62
_cell_angle_gamma 90.00
loop_
_symmetry_equiv_pos_as_xyz
'x,y,z'
'-x,-y,-z'
'-x,y,-z'
'x,-y,z'
'x+1/2,y+1/2,z'
'-x+1/2,-y+1/2,-z'
'-x+1/2,y+1/2,-z'
'x+1/2,-y+1/2,z'
loop_
_atom_site_label
_atom_site_type_symbol
_atom_site_fract_x
_atom_site_fract_y
_atom_site_fract_z
Tl1 Tl 0.247 0.000 0.171
Ge1 Ge 0.000 0.240 0.500
Ge2 Ge 0.000 0.500 0.000
I1 I 0.103 0.258 0.897
I2 I 0.106 0.500 0.394
I3 I 0.109 0.000 0.441

***

# 17
# Tl2GeI5 (PBE-GGA, optimized geometry)
# * DOS(E_F): 7.6 states/eV/cell
# * formation energy (no corrections): -3.1 eV/f.u.
data_Tl2GeI5
_symmetry_space_group_name_H-M 'I 4 m m'
_symmetry_Int_Tables_number 107
_symmetry_space_group_name_Hall 'I 4 -2'
_cell_length_a 8.182
_cell_length_b 8.182
_cell_length_c 11.993
_cell_angle_alpha 90.00
_cell_angle_beta 90.00
_cell_angle_gamma 90.00
loop_
_atom_site_label
_atom_site_type_symbol
_atom_site_fract_x
_atom_site_fract_y
_atom_site_fract_z
Tl1 Tl 0.000 0.500 0.000
Ge1 Ge 0.000 0.000 0.302
I1 I 0.000 0.000 0.081
I2 I 0.245 0.245 0.342

***

# 18
# TlGe2I (PBE-GGA, optimized geometry)
# * relative energy among the computed polymorphs: 0 meV per atom
# * DOS(E_F): 14.8 states/eV/cell
# * formation energy (no corrections): 1.9 eV/f.u.
data_TlGe2I
_symmetry_space_group_name_H-M 'F m -3 m'
_symmetry_Int_Tables_number 225
_symmetry_space_group_name_Hall '-F 4 2 3'
_cell_length_a 7.501
_cell_length_b 7.501
_cell_length_c 7.501
_cell_angle_alpha 90.00
_cell_angle_beta 90.00
_cell_angle_gamma 90.00
loop_
_atom_site_label
_atom_site_type_symbol
_atom_site_fract_x
_atom_site_fract_y
_atom_site_fract_z
Tl1 Tl 0.000 0.000 0.000
Ge1 Ge 0.250 0.250 0.250
I1 I 0.000 0.000 0.500

***

# 19
# Tl2GeI (PBE-GGA, optimized geometry)
# * relative energy among the computed polymorphs: 0 meV per atom
# * DOS(E_F): 3.7 states/eV/cell
# * formation energy (no corrections): 0.2 eV/f.u.
data_Tl2GeI
_symmetry_space_group_name_H-M 'I -4 2 d'
_symmetry_Int_Tables_number 122
_symmetry_space_group_name_Hall 'I -4 2bw'
_cell_length_a 6.888
_cell_length_b 6.888
_cell_length_c 14.786
_cell_angle_alpha 90.00
_cell_angle_beta 90.00
_cell_angle_gamma 90.00
loop_
_atom_site_label
_atom_site_type_symbol
_atom_site_fract_x
_atom_site_fract_y
_atom_site_fract_z
Tl1 Tl 0.180 0.250 0.125
Ge1 Ge 0.000 0.000 0.000
I1 I 0.000 0.000 0.500

***

# 20
# TlGeI2 (PBE-GGA, optimized geometry)
# * relative energy among the computed polymorphs: 0 meV per atom
# * DOS(E_F): 8.9 states/eV/cell
# * formation energy (no corrections): -0.3 eV/f.u.
data_TlGeI2
_symmetry_space_group_name_H-M 'R -3 m'
_symmetry_Int_Tables_number 166
_symmetry_space_group_name_Hall '-R 3 2"'
_cell_length_a 4.9339
_cell_length_b 4.9339
_cell_length_c 21.0948
_cell_angle_alpha 90.00
_cell_angle_beta 90.00
_cell_angle_gamma 120.00
loop_
_atom_site_label
_atom_site_type_symbol
_atom_site_fract_x
_atom_site_fract_y
_atom_site_fract_z
Tl1 Tl 0.0000 0.0000 0.0000
Ge1 Ge 0.0000 0.0000 0.5000
I1 I 0.0000 0.0000 0.2357